Record 1
A plane-wave DFT calculation with PBE was carried out for a relaxed CdCuRu2 crystal.

Calculated values
- space group = Imm2 (44)
- ΔH_f (0 K) (eV per atom) = 0.424
- total DFT energy (no corrections) (Ha/atom) = -0.20091
- density of states at the Fermi level (states/eV/atom) = 1.177

Lattice parameters (Å, degrees): 5.233 5.233 5.233 147.35 127.86 62.89
Fractional coordinates of all 4 atoms:
Ru 0.999 0.999 0.000
Ru 0.764 0.264 0.500
Cu 0.243 0.743 0.500
Cd 0.494 0.494 0.000

---

Record 2
A plane-wave DFT calculation with PBE was carried out for a relaxed Cs2Ga4Au5 crystal.

Calculated values
- space group = Fmmm (69)
- ΔH_f (0 K) (eV per atom) = -0.279
- total DFT energy (no corrections) (Ha/atom) = -0.11116
- density of states at the Fermi level (states/eV/atom) = 0.343

Lattice parameters (Å, degrees): 6.706 6.873 7.902 78.06 64.89 60.80
Fractional coordinates of all 11 atoms:
Ga 0.540 0.669 0.250
Ga 0.210 0.331 0.250
Ga 0.460 0.331 0.750
Ga 0.790 0.669 0.750
Au 0.000 0.500 0.000
Au 0.500 0.500 0.000
Au 0.250 0.500 0.500
Au 0.750 0.500 0.500
Au 0.500 0.000 0.000
Cs 0.863 0.000 0.275
Cs 0.137 0.000 0.725

---

Record 3
A plane-wave DFT calculation with PBE was carried out for a relaxed P2Ru2SeN crystal.

Calculated values
- space group = Cm (8)
- energy relative to the elements, uncorrected (eV per atom) = -0.0792
- energy relative to the lowest polymorph listed for this composition (eV/atom) = 0.142
- total DFT energy (no corrections) (Ha/atom) = -0.25514
- density of states at the Fermi level (states/eV/atom) = 0.423

Lattice parameters (Å, degrees): 5.614 2.921 11.882 90.00 95.93 90.00
Fractional coordinates of all 12 atoms:
Se 0.083 0.500 0.072
Se 0.083 0.000 0.572
Ru 0.774 0.500 0.199
Ru 0.818 0.500 0.445
Ru 0.774 0.000 0.699
Ru 0.818 0.000 0.945
P 0.977 0.500 0.818
P 0.468 0.500 0.318
P 0.468 0.000 0.818
P 0.977 0.000 0.318
N 0.284 0.500 0.827
N 0.284 0.000 0.327

---

Question: Among the records above, which one has the lowest total DFT energy (no corrections)?
Answer: P2Ru2SeN